DFT (PBE) results for Sc2AsOs after structural relaxation.

## Properties
Total DFT energy (no corrections): -29.56 eV/cell
ΔE_f: -255 meV per atom

a b c (Å): 3.119 3.119 7.728
angles (deg): 90.00 90.00 90.00
Fractional positions:
1 Sc 0.000 0.000 0.000
2 Sc 0.500 0.500 0.335
3 As 0.000 0.000 0.588
4 Os 0.500 0.500 0.760

---

DFT (PBE) results for Sc4AsOs after structural relaxation.

## Properties
Total DFT energy (no corrections): -38.80 eV/cell
ΔE_f: 401 meV per atom

a b c (Å): 5.493 5.493 5.493
angles (deg): 60.00 60.00 60.00
Fractional positions:
1 Sc 0.377 0.377 0.377
2 Sc 0.377 0.377 0.870
3 Sc 0.377 0.870 0.377
4 Sc 0.870 0.377 0.377
5 As 0.000 0.000 0.000
6 Os 0.750 0.750 0.750

---

DFT (PBE) results for ScAsOs2 after structural relaxation.

## Properties
Total DFT energy (no corrections): -33.81 eV/cell
ΔE_f: -92 meV per atom

a b c (Å): 5.181 5.181 4.697
angles (deg): 109.43 109.43 33.66
Fractional positions:
1 Sc 0.000 0.000 0.000
2 As 0.776 0.776 0.240
3 Os 0.229 0.229 0.624
4 Os 0.500 0.500 0.519